VASP calculation (GGA-PBE) on a relaxed SrTc2Sb crystal.

Unit cell a=5.658 b=5.658 c=3.027 alpha=104.43 beta=104.43 gamma=112.90
Positions (direct):
Sr (0.000, 0.000, 0.000)
Tc (0.000, 0.500, 0.500)
Tc (0.500, 0.000, 0.500)
Sb (0.500, 0.500, 0.000)

Computed properties:
Total magnetization in μB per cell: 0.06
Space group: C2/m (12)
Raw formation energy in meV/atom: 783
N(E_F) in states/eV per cell: 5.4